DFT (PBE-GGA) results for a relaxed structure of BeInPb2.

Summary:
Energy relative to the lowest polymorph listed for this composition   192.5 meV per atom
Space group   F-43m, No. 216
M_tot   0.00 μB per cell

Lattice parameters (Å, degrees): 5.284 5.284 5.284 60.00 60.00 60.00
Positions (direct):
Pb: 0.000 0.000 0.000
Pb: 0.250 0.250 0.250
Be: 0.500 0.500 0.500
In: 0.750 0.750 0.750

---

DFT (PBE-GGA) results for a relaxed structure of BeInPb4.

Summary:
DFT total energy   -2.95 eV/atom
Space group   F-43m, No. 216
M_tot   0.00 μB per cell

Lattice parameters (Å, degrees): 6.473 6.473 6.473 60.00 60.00 60.00
Positions (direct):
Be: 0.750 0.750 0.750
In: 0.000 0.000 0.000
Pb: 0.874 0.375 0.375
Pb: 0.375 0.375 0.874
Pb: 0.375 0.874 0.375
Pb: 0.375 0.375 0.375

---

DFT (PBE-GGA) results for a relaxed structure of BeInPb2.

Summary:
Energy relative to the lowest polymorph listed for this composition   172.1 meV per atom
Space group   Fm-3m, No. 225
M_tot   0.00 μB per cell

Lattice parameters (Å, degrees): 5.260 5.260 5.260 60.00 60.00 60.00
Positions (direct):
Pb: 0.250 0.250 0.250
Pb: 0.750 0.750 0.750
Be: 0.000 0.000 0.000
In: 0.500 0.500 0.500

---

DFT (PBE-GGA) results for a relaxed structure of BeInPb2.

Summary:
Energy relative to the lowest polymorph listed for this composition   0.0 meV per atom
Space group   Cmm2, No. 35
M_tot   0.00 μB per cell

Lattice parameters (Å, degrees): 3.434 3.434 8.660 90.00 90.00 102.60
Positions (direct):
Pb: 0.000 0.000 0.981
Pb: 0.500 0.500 0.310
Be: 0.000 0.000 0.519
In: 0.500 0.500 0.691

---

DFT (PBE-GGA) results for a relaxed structure of BeIn2Pb.

Summary:
Energy relative to the lowest polymorph listed for this composition   14.6 meV per atom
Space group   Pm, No. 6
M_tot   0.00 μB per cell

Lattice parameters (Å, degrees): 3.562 4.537 6.367 68.62 90.00 90.00
Positions (direct):
Pb: 0.000 0.522 0.581
Be: 0.500 0.975 0.676
In: 0.000 0.809 0.008
In: 0.500 0.194 0.235

---

DFT (PBE-GGA) results for a relaxed structure of BeIn2Pb.

Summary:
Energy relative to the lowest polymorph listed for this composition   154.5 meV per atom
Space group   I4/mmm, No. 139
M_tot   0.00 μB per cell

Lattice parameters (Å, degrees): 6.035 6.035 6.035 138.07 138.07 60.80
Positions (direct):
Pb: 0.250 0.750 0.500
Be: 0.750 0.250 0.500
In: 0.000 0.000 0.000
In: 0.500 0.500 0.000

---

DFT (PBE-GGA) results for a relaxed structure of BeIn2Pb.

Summary:
Energy relative to the lowest polymorph listed for this composition   36.4 meV per atom
Space group   I-42d, No. 122
M_tot   0.00 μB per cell

Lattice parameters (Å, degrees): 8.501 8.501 6.602 49.92 49.92 90.00
Positions (direct):
Pb: 0.000 0.000 0.000
Pb: 0.750 0.250 0.500
Be: 0.500 0.500 0.000
Be: 0.250 0.750 0.500
In: 0.534 0.125 0.250
In: 0.216 0.625 0.250
In: 0.375 0.466 0.750
In: 0.875 0.784 0.750

---

DFT (PBE-GGA) results for a relaxed structure of BeInPb2.

Summary:
Energy relative to the lowest polymorph listed for this composition   2.7 meV per atom
Space group   Cm, No. 8
M_tot   0.00 μB per cell

Lattice parameters (Å, degrees): 6.419 6.419 6.263 53.19 53.19 30.09
Positions (direct):
Pb: 0.976 0.976 0.047
Pb: 0.811 0.811 0.744
Be: 0.538 0.538 0.309
In: 0.175 0.175 0.400